# 1
NdZrP2Rh5 | Alexandria | PBE-GGA | optimized geometry; DFT total energy = -67.8 eV/cell; total magnetic moment = 0.00 μB per cell; ΔH_f (0 K) = -0.772 eV/atom
1.0
4.0549 0.0000 0.0000
0.0000 4.0549 0.0000
0.0000 0.0000 10.3534
Rh P Zr Nd
5 2 1 1
Cartesian
2.0274 0.0000 8.4736
2.0274 2.0274 5.1767
0.0000 2.0274 1.8798
2.0274 0.0000 1.8798
0.0000 2.0274 8.4736
2.0274 2.0274 2.9064
2.0274 2.0274 7.4470
0.0000 0.0000 0.0000
0.0000 0.0000 5.1767

=====

# 2
TaGaIN2 | Alexandria | PBE-GGA | optimized geometry; polymorph energy (0 for the lowest one) = 0.000 eV/atom; DFT total energy = -31.6 eV/cell; formation energy (no corrections) = 0.302 eV per atom; total magnetic moment = 0.00 μB per cell
1.0
4.1164 0.0000 0.0000
0.0000 4.1164 0.0000
0.0000 0.0000 5.8015
N Ga I Ta
2 1 1 1
Cartesian
0.0000 2.0582 0.0000
2.0582 0.0000 0.0000
2.0582 2.0582 2.9007
0.0000 0.0000 2.9007
0.0000 0.0000 0.0000

=====

# 3
CuSIO2 | Alexandria | PBE-GGA | optimized geometry; DFT total energy = -18.8 eV/cell; formation energy (no corrections) = 0.182 eV per atom; total magnetic moment = 0.00 μB per cell
1.0
-3.4404 1.1025 0.4871
-0.2102 -3.6086 6.6820
1.2011 3.0125 1.6647
O S Cu I
2 1 1 1
Cartesian
0.6005 1.5063 0.8324
-1.7202 0.5512 0.2436
0.0000 0.0000 0.0000
-1.2248 0.2532 4.4169
-0.1051 -1.8043 3.3410